# 1
This record from Alexandria describes an optimized crystal structure of FeTc3C. The functional is PBE.

The structure in POSCAR format:
```
FeTc3C
1.0
4.368 0.000 0.000
0.000 4.368 0.000
0.000 0.000 4.368
Fe Tc C
1 3 1
Direct
0.000 0.000 0.000
0.000 0.000 0.500
0.000 0.500 0.000
0.500 0.000 0.000
0.500 0.500 0.500
```

## Properties
The value obtained for the energy of formation is 2510 meV/atom. The volume is 16.7 Å³ per atom. Its space-group type is Pm-3m.

***

# 2
This record from Alexandria describes an optimized crystal structure of FeTc3C. The functional is PBE.

The structure in POSCAR format:
```
FeTc3C
1.0
4.446 -2.067 0.000
4.446 2.067 0.000
-3.088 0.000 6.732
Fe Tc C
2 6 2
Direct
0.115 0.115 0.436
0.885 0.885 0.564
0.125 0.125 0.927
0.364 0.364 0.339
0.366 0.366 0.776
0.634 0.634 0.224
0.636 0.636 0.661
0.875 0.875 0.073
0.382 0.382 0.070
0.618 0.618 0.930
```

## Properties
The value obtained for the energy of formation is 114 meV/atom. The volume is 12.4 Å³ per atom. Its space-group type is C2/m.

***

# 3
This record from Alexandria describes an optimized crystal structure of Fe3TcC. The functional is PBE.

The structure in POSCAR format:
```
Fe3TcC
1.0
4.436 0.000 0.000
0.000 4.436 0.000
0.000 0.000 4.436
Fe Tc C
3 1 1
Direct
0.000 0.000 0.500
0.000 0.500 0.000
0.500 0.000 0.000
0.000 0.000 0.000
0.500 0.500 0.500
```

## Properties
The value obtained for the energy of formation is 2648 meV/atom. The volume is 17.5 Å³ per atom. Its space-group type is Pm-3m.

***

# 4
This record from Alexandria describes an optimized crystal structure of FeTcC2. The functional is PBE.

The structure in POSCAR format:
```
FeTcC2
1.0
5.166 0.000 0.000
0.000 5.166 0.000
0.000 0.000 5.166
Fe Tc C
4 4 8
Direct
0.000 0.000 0.000
0.000 0.500 0.500
0.500 0.000 0.500
0.500 0.500 0.000
0.000 0.000 0.500
0.000 0.500 0.000
0.500 0.000 0.000
0.500 0.500 0.500
0.250 0.250 0.250
0.250 0.250 0.750
0.250 0.750 0.250
0.250 0.750 0.750
0.750 0.250 0.250
0.750 0.250 0.750
0.750 0.750 0.250
0.750 0.750 0.750
```

## Properties
The value obtained for the energy of formation is 940 meV/atom. The volume is 8.6 Å³ per atom. Its space-group type is Fm-3m.

***

# 5
This record from Alexandria describes an optimized crystal structure of FeTc3C. The functional is PBE.

The structure in POSCAR format:
```
FeTc3C
1.0
4.003 0.000 0.000
0.000 4.003 0.000
0.000 0.000 4.003
Fe Tc C
1 3 1
Direct
0.000 0.000 0.000
0.000 0.500 0.500
0.500 0.000 0.500
0.500 0.500 0.000
0.500 0.500 0.500
```

## Properties
The value obtained for the energy of formation is 337 meV/atom. The volume is 12.8 Å³ per atom. Its space-group type is Pm-3m.

***

# 6
This record from Alexandria describes an optimized crystal structure of Fe4Tc2C. The functional is PBE.

The structure in POSCAR format:
```
Fe4Tc2C
1.0
3.656 0.000 0.000
0.000 3.656 0.000
0.000 0.000 12.348
Fe Tc C
8 4 2
Direct
0.000 0.000 0.151
0.000 0.000 0.849
0.000 0.500 0.000
0.000 0.500 0.500
0.500 0.000 0.000
0.500 0.000 0.500
0.500 0.500 0.349
0.500 0.500 0.651
0.000 0.000 0.331
0.000 0.000 0.669
0.500 0.500 0.169
0.500 0.500 0.831
0.000 0.000 0.000
0.500 0.500 0.500
```

## Properties
The value obtained for the energy of formation is 453 meV/atom. The volume is 11.8 Å³ per atom. Its space-group type is I4/mmm.

***

# 7
This record from Alexandria describes an optimized crystal structure of TiFeTc2C. The functional is PBE.

The structure in POSCAR format:
```
TiFeTc2C
1.0
4.115 0.000 0.000
0.000 4.115 0.000
0.000 0.000 3.728
Ti Fe Tc C
1 1 2 1
Direct
0.000 0.000 0.000
0.500 0.500 0.000
0.000 0.500 0.500
0.500 0.000 0.500
0.500 0.500 0.500
```

## Properties
The value obtained for the energy of formation is -180 meV/atom. The volume is 12.6 Å³ per atom. Its space-group type is P4/mmm.

***

# 8
This record from Alexandria describes an optimized crystal structure of TlFeTc2C. The functional is PBE.

The structure in POSCAR format:
```
TlFeTc2C
1.0
4.408 0.000 0.000
0.000 4.408 0.000
0.000 0.000 4.885
Tl Fe Tc C
1 1 2 1
Direct
0.000 0.000 0.000
0.000 0.000 0.500
0.000 0.500 0.500
0.500 0.000 0.500
0.500 0.500 0.000
```

## Properties
The value obtained for the energy of formation is 2348 meV/atom. The volume is 19.0 Å³ per atom. Its space-group type is P4/mmm.

***

# 9
This record from Alexandria describes an optimized crystal structure of UFeTcC. The functional is PBE.

The structure in POSCAR format:
```
UFeTcC
1.0
3.797 0.000 0.000
0.000 3.982 0.000
0.000 0.000 4.078
U Fe Tc C
1 1 1 1
Direct
0.000 0.000 0.000
0.000 0.500 0.500
0.500 0.500 0.000
0.500 0.500 0.500
```

## Properties
The value obtained for the energy of formation is 244 meV/atom. The volume is 15.4 Å³ per atom. Its space-group type is Pmmm.

***

# 10
This record from Alexandria describes an optimized crystal structure of YFe2TcC. The functional is PBE.

The structure in POSCAR format:
```
YFe2TcC
1.0
4.029 0.000 0.000
0.000 4.029 0.000
0.000 0.000 4.188
Y Fe Tc C
1 2 1 1
Direct
0.000 0.000 0.000
0.000 0.500 0.500
0.500 0.000 0.500
0.500 0.500 0.000
0.500 0.500 0.500
```

## Properties
The value obtained for the energy of formation is 33 meV/atom. The volume is 13.6 Å³ per atom. Its space-group type is P4/mmm.

***

# 11
This record from Alexandria describes an optimized crystal structure of ZnFeTc2C. The functional is PBE.

The structure in POSCAR format:
```
ZnFeTc2C
1.0
4.074 0.000 0.000
0.000 4.074 0.000
0.000 0.000 3.785
Zn Fe Tc C
1 1 2 1
Direct
0.000 0.000 0.000
0.500 0.500 0.000
0.000 0.500 0.500
0.500 0.000 0.500
0.500 0.500 0.500
```

## Properties
The value obtained for the energy of formation is 134 meV/atom. The volume is 12.6 Å³ per atom. Its space-group type is P4/mmm.

***

# 12
This record from Alexandria describes an optimized crystal structure of ZrFeTc2C. The functional is PBE.

The structure in POSCAR format:
```
ZrFeTc2C
1.0
4.185 0.000 0.000
0.000 4.185 0.000
0.000 0.000 3.839
Zr Fe Tc C
1 1 2 1
Direct
0.000 0.000 0.000
0.500 0.500 0.000
0.000 0.500 0.500
0.500 0.000 0.500
0.500 0.500 0.500
```

## Properties
The value obtained for the energy of formation is -181 meV/atom. The volume is 13.4 Å³ per atom. Its space-group type is P4/mmm.

***

# 13
This record from Alexandria describes an optimized crystal structure of FeTeC. The functional is PBE.

The structure in POSCAR format:
```
FeTeC
1.0
7.718 0.000 0.000
0.000 2.952 0.000
-0.872 0.000 9.285
Fe Te C
4 4 4
Direct
0.000 0.000 0.000
0.052 0.500 0.798
0.500 0.500 0.000
0.552 0.000 0.798
0.044 0.500 0.535
0.243 0.500 0.178
0.544 0.000 0.535
0.743 0.000 0.178
0.184 0.000 0.871
0.366 0.000 0.912
0.684 0.500 0.871
0.866 0.500 0.912
```

## Properties
The volume is 17.6 Å³ per atom. As for the uncorrected formation energy: 0.34 eV per atom. Its space-group type is Cm.

***

# 14
This record from Alexandria describes an optimized crystal structure of FeTeC. The functional is PBE.

The structure in POSCAR format:
```
FeTeC
1.0
4.335 0.000 0.000
1.235 4.231 0.000
1.461 0.572 6.431
Fe Te C
2 2 2
Direct
0.000 0.000 0.000
0.414 0.418 0.017
0.452 0.875 0.225
0.772 0.212 0.652
0.041 0.616 0.917
0.842 0.437 0.891
```

## Properties
The volume is 19.7 Å³ per atom. As for the uncorrected formation energy: 0.49 eV per atom. Its space-group type is P1.

***

# 15
This record from Alexandria describes an optimized crystal structure of FeTeC. The functional is PBE.

The structure in POSCAR format:
```
FeTeC
1.0
4.119 0.000 0.000
0.000 5.015 0.000
0.000 0.000 10.091
Fe Te C
4 4 4
Direct
0.000 0.000 0.120
0.000 0.000 0.880
0.500 0.500 0.380
0.500 0.500 0.620
0.000 0.500 0.209
0.000 0.500 0.791
0.500 0.000 0.291
0.500 0.000 0.709
0.167 0.500 0.500
0.333 0.000 0.000
0.667 0.000 0.000
0.833 0.500 0.500
```

## Properties
The volume is 17.4 Å³ per atom. As for the uncorrected formation energy: 0.35 eV per atom. Its space-group type is Immm.

***

# 16
This record from Alexandria describes an optimized crystal structure of FeTeC. The functional is PBE.

The structure in POSCAR format:
```
FeTeC
1.0
2.969 0.000 0.000
1.484 3.831 0.000
0.128 1.175 8.705
Fe Te C
2 2 2
Direct
0.202 0.106 0.391
0.798 0.894 0.609
0.095 0.284 0.801
0.905 0.716 0.199
0.413 0.672 0.523
0.587 0.328 0.477
```

## Properties
The volume is 16.5 Å³ per atom. As for the uncorrected formation energy: 0.25 eV per atom. Its space-group type is P-1.

***

# 17
This record from Alexandria describes an optimized crystal structure of FeTeC. The functional is PBE.

The structure in POSCAR format:
```
FeTeC
1.0
3.149 0.000 0.000
-0.727 3.521 0.000
-1.321 -0.611 9.053
Fe Te C
2 2 2
Direct
0.164 0.333 0.403
0.836 0.667 0.597
0.041 0.213 0.803
0.959 0.787 0.197
0.324 0.841 0.503
0.676 0.159 0.497
```

## Properties
The volume is 16.7 Å³ per atom. As for the uncorrected formation energy: 0.35 eV per atom. Its space-group type is P-1.

***

# 18
This record from Alexandria describes an optimized crystal structure of FeTe2C. The functional is PBE.

The structure in POSCAR format:
```
FeTe2C
1.0
5.547 0.000 0.000
0.000 5.547 0.000
0.000 0.000 10.787
Fe Te C
4 8 4
Direct
0.000 0.000 0.000
0.000 0.500 0.250
0.500 0.000 0.750
0.500 0.500 0.500
0.225 0.250 0.625
0.250 0.725 0.875
0.250 0.775 0.375
0.275 0.250 0.125
0.725 0.750 0.125
0.750 0.225 0.375
0.750 0.275 0.875
0.775 0.750 0.625
0.000 0.000 0.500
0.000 0.500 0.750
0.500 0.000 0.250
0.500 0.500 0.000
```

## Properties
The volume is 20.7 Å³ per atom. As for the uncorrected formation energy: 0.96 eV per atom. Its space-group type is I-42d.

***

# 19
This record from Alexandria describes an optimized crystal structure of FeTe2C. The functional is PBE.

The structure in POSCAR format:
```
FeTe2C
1.0
3.418 0.000 0.000
-1.709 2.960 0.000
0.000 0.000 24.223
Fe Te C
3 6 3
Direct
0.000 0.000 0.000
0.333 0.667 0.667
0.667 0.333 0.333
0.000 0.000 0.104
0.000 0.000 0.896
0.333 0.667 0.563
0.333 0.667 0.770
0.667 0.333 0.230
0.667 0.333 0.437
0.000 0.000 0.500
0.333 0.667 0.167
0.667 0.333 0.833
```

## Properties
The volume is 20.4 Å³ per atom. As for the uncorrected formation energy: 1.46 eV per atom. Its space-group type is R-3m.

***

# 20
This record from Alexandria describes an optimized crystal structure of FeTeC. The functional is PBE.

The structure in POSCAR format:
```
FeTeC
1.0
3.689 0.000 0.000
-0.871 5.042 0.000
-1.357 -2.544 6.020
Fe Te C
2 2 2
Direct
0.000 0.000 0.000
0.417 0.668 0.000
0.346 0.831 0.693
0.645 0.141 0.307
0.043 0.359 0.000
0.895 0.587 0.000
```

## Properties
The volume is 18.7 Å³ per atom. As for the uncorrected formation energy: 0.42 eV per atom. Its space-group type is P1.